## LiCa2 (PBE)

Data for crystalline LiCa2 at its relaxed geometry.

Lattice parameters (Å, degrees): 5.5414 7.2973 10.4412 90.00 90.00 90.00
Element x y z (fractional)
Li: 0.7500 0.3013 0.6045
Li: 0.2500 0.6987 0.3955
Ca: 0.2500 0.5384 0.7079
Li: 0.2500 0.1987 0.1045
Ca: 0.2500 0.6647 0.0685
Ca: 0.7500 0.3353 0.9315
Ca: 0.2500 0.1647 0.4315
Li: 0.7500 0.8013 0.8955
Ca: 0.7500 0.9616 0.2079
Ca: 0.7500 0.8353 0.5685
Ca: 0.2500 0.0384 0.7921
Ca: 0.7500 0.4616 0.2921

ΔE to the lowest computed polymorph, meV per atom: 21
Space group: No. 62
Size of the total moment, Bohr magnetons per cell: 0.00
E_form, eV per atom: 0.0316
E_tot, eV per atom: -1.9407